NaBe2B GGA-PBE optimized geometry; final energy = -3.59 eV per atom; M_tot = 0.00 μB/cell; SG = No. 42; formation energy = 0.276 eV per atom
1.0
0.000 2.522 4.870
2.504 0.000 4.870
2.504 2.522 0.000
Na Be B
1 2 1
direct
0.000 0.000 0.000 Na
0.264 0.264 0.236 Be
0.764 0.764 0.736 Be
0.282 0.282 0.718 B